Version 1
DFT (PBE-GGA) results for an optimized crystal structure of VSeSBr2.

Values from the calculation:
The calculation puts the calculated volume at 25.79 A^3/atom. The mass density is 4144 kg/m3.

a = 5.0360 Å, b = 5.0360 Å, c = 5.0837 Å
α = 90.00°, β = 90.00°, γ = 90.00°
Positions (direct):
1 S 0.0000 0.0000 0.0000
2 Se 0.0000 0.0000 0.5000
3 Br 0.0000 0.5000 0.0000
4 Br 0.5000 0.0000 0.0000
5 V 0.5000 0.5000 0.5000



Version 2
DFT (PBE-GGA) results for an optimized crystal structure of VSeSBr2.

Values from the calculation:
The calculation puts the calculated volume at 23.87 A^3/atom. The mass density is 4477 kg/m3.

a = 4.9806 Å, b = 4.9806 Å, c = 4.8117 Å
α = 90.00°, β = 90.00°, γ = 90.00°
Positions (direct):
1 S 0.5000 0.5000 0.5000
2 Se 0.0000 0.0000 0.5000
3 Br 0.0000 0.5000 0.0000
4 Br 0.5000 0.0000 0.0000
5 V 0.0000 0.0000 0.0000



Relative to the most stable structure, the computed energies are version 1 38.6; version 2 0.0, all in kJ/mol of atoms.



Version 1
DFT (PBE-GGA) results for an optimized crystal structure of WSeSBr2.

Values from the calculation:
The calculation puts the calculated volume at 24.60 A^3/atom. The mass density is 6138 kg/m3.

a = 5.0083 Å, b = 5.0083 Å, c = 4.9041 Å
α = 90.00°, β = 90.00°, γ = 90.00°
Positions (direct):
1 S 0.5000 0.5000 0.5000
2 Se 0.0000 0.0000 0.5000
3 Br 0.0000 0.5000 0.0000
4 Br 0.5000 0.0000 0.0000
5 W 0.0000 0.0000 0.0000



Version 2
DFT (PBE-GGA) results for an optimized crystal structure of WSeSBr2.

Values from the calculation:
The calculation puts the calculated volume at 25.21 A^3/atom. The mass density is 5989 kg/m3.

a = 4.9836 Å, b = 4.9836 Å, c = 5.0756 Å
α = 90.00°, β = 90.00°, γ = 90.00°
Positions (direct):
1 S 0.0000 0.0000 0.0000
2 Se 0.0000 0.0000 0.5000
3 Br 0.0000 0.5000 0.0000
4 Br 0.5000 0.0000 0.0000
5 W 0.5000 0.5000 0.5000



Relative to the most stable structure, the computed energies are version 1 0.0; version 2 76.2, all in kJ/mol of atoms.



Version 1
DFT (PBE-GGA) results for an optimized crystal structure of WSe2SBr.

Values from the calculation:
The calculation puts the calculated volume at 24.01 A^3/atom. The mass density is 6275 kg/m3.

a = 4.9002 Å, b = 4.9002 Å, c = 5.0003 Å
α = 90.00°, β = 90.00°, γ = 90.00°
Positions (direct):
1 S 0.5000 0.5000 0.5000
2 Se 0.0000 0.5000 0.0000
3 Se 0.5000 0.0000 0.0000
4 Br 0.0000 0.0000 0.5000
5 W 0.0000 0.0000 0.0000



Version 2
DFT (PBE-GGA) results for an optimized crystal structure of WSe2SBr.

Values from the calculation:
The calculation puts the calculated volume at 23.31 A^3/atom. The mass density is 6465 kg/m3.

a = 4.9431 Å, b = 4.9431 Å, c = 4.7692 Å
α = 90.00°, β = 90.00°, γ = 90.00°
Positions (direct):
1 S 0.0000 0.0000 0.0000
2 Se 0.0000 0.5000 0.0000
3 Se 0.5000 0.0000 0.0000
4 Br 0.0000 0.0000 0.5000
5 W 0.5000 0.5000 0.5000



Relative to the most stable structure, the computed energies are version 1 0.0; version 2 74.5, all in kJ/mol of atoms.



Version 1
DFT (PBE-GGA) results for an optimized crystal structure of YSe2SBr.

Values from the calculation:
The calculation puts the calculated volume at 24.37 A^3/atom. The mass density is 4889 kg/m3.

a = 4.9117 Å, b = 4.9117 Å, c = 5.0514 Å
α = 90.00°, β = 90.00°, γ = 90.00°
Positions (direct):
1 Y 0.5000 0.5000 0.5000
2 S 0.0000 0.0000 0.0000
3 Se 0.0000 0.5000 0.0000
4 Se 0.5000 0.0000 0.0000
5 Br 0.0000 0.0000 0.5000



Version 2
DFT (PBE-GGA) results for an optimized crystal structure of YSe2SBr.

Values from the calculation:
The calculation puts the calculated volume at 34.54 A^3/atom. The mass density is 3450 kg/m3.

a = 5.5871 Å, b = 5.5871 Å, c = 5.5323 Å
α = 90.00°, β = 90.00°, γ = 90.00°
Positions (direct):
1 Y 0.0000 0.0000 0.0000
2 S 0.5000 0.5000 0.5000
3 Se 0.0000 0.5000 0.0000
4 Se 0.5000 0.0000 0.0000
5 Br 0.0000 0.0000 0.5000



Relative to the most stable structure, the computed energies are version 1 0.0; version 2 12.5, all in kJ/mol of atoms.



Version 1
DFT (PBE-GGA) results for an optimized crystal structure of ZnSeSBr2.

Values from the calculation:
The calculation puts the calculated volume at 26.23 A^3/atom. The mass density is 4257 kg/m3.

a = 5.1049 Å, b = 5.1049 Å, c = 5.0328 Å
α = 90.00°, β = 90.00°, γ = 90.00°
Positions (direct):
1 S 0.0000 0.0000 0.0000
2 Zn 0.5000 0.5000 0.5000
3 Se 0.0000 0.0000 0.5000
4 Br 0.0000 0.5000 0.0000
5 Br 0.5000 0.0000 0.0000



Version 2
DFT (PBE-GGA) results for an optimized crystal structure of ZnSeSBr2.

Values from the calculation:
The calculation puts the calculated volume at 26.34 A^3/atom. The mass density is 4240 kg/m3.

a = 4.9695 Å, b = 4.9695 Å, c = 5.3325 Å
α = 90.00°, β = 90.00°, γ = 90.00°
Positions (direct):
1 S 0.5000 0.5000 0.5000
2 Zn 0.0000 0.0000 0.0000
3 Se 0.0000 0.0000 0.5000
4 Br 0.0000 0.5000 0.0000
5 Br 0.5000 0.0000 0.0000



Relative to the most stable structure, the computed energies are version 1 0.0; version 2 5.6, all in kJ/mol of atoms.



Version 1
DFT (PBE-GGA) results for an optimized crystal structure of Si2SBr.

Values from the calculation:
The calculation puts the calculated volume at 23.10 A^3/atom. The mass density is 3022 kg/m3.

a = 4.8157 Å, b = 4.8157 Å, c = 8.6658 Å
α = 73.87°, β = 73.87°, γ = 90.00°
Positions (direct):
1 S 0.5000 0.5000 0.0000
2 S 0.2500 0.7500 0.5000
3 Si 0.4698 0.1250 0.2500
4 Si 0.2802 0.6250 0.2500
5 Si 0.3750 0.5302 0.7500
6 Si 0.8750 0.7198 0.7500
7 Br 0.0000 0.0000 0.0000
8 Br 0.7500 0.2500 0.5000



Version 2
DFT (PBE-GGA) results for an optimized crystal structure of Si2SBr.

Values from the calculation:
The calculation puts the calculated volume at 19.01 A^3/atom. The mass density is 3671 kg/m3.

a = 4.7556 Å, b = 4.7556 Å, c = 4.7556 Å
α = 60.00°, β = 60.00°, γ = 60.00°
Positions (direct):
1 S 0.0000 0.0000 0.0000
2 Si 0.2500 0.2500 0.2500
3 Si 0.7500 0.7500 0.7500
4 Br 0.5000 0.5000 0.5000



Relative to the most stable structure, the computed energies are version 1 0.0; version 2 21.1, all in kJ/mol of atoms.



Version 1
DFT (PBE-GGA) results for an optimized crystal structure of SnS2Br.

Values from the calculation:
The calculation puts the calculated volume at 25.64 A^3/atom. The mass density is 4254 kg/m3.

a = 12.9823 Å, b = 12.9823 Å, c = 12.9823 Å
α = 13.42°, β = 13.42°, γ = 13.42°
Positions (direct):
1 S 0.9346 0.9346 0.9346
2 S 0.0654 0.0654 0.0654
3 Sn 0.0000 0.0000 0.0000
4 Br 0.5000 0.5000 0.5000



Version 2
DFT (PBE-GGA) results for an optimized crystal structure of SnS2Br.

Values from the calculation:
The calculation puts the calculated volume at 20.71 A^3/atom. The mass density is 5266 kg/m3.

a = 4.8933 Å, b = 4.8933 Å, c = 4.8933 Å
α = 60.00°, β = 60.00°, γ = 60.00°
Positions (direct):
1 S 0.2500 0.2500 0.2500
2 S 0.7500 0.7500 0.7500
3 Sn 0.5000 0.5000 0.5000
4 Br 0.0000 0.0000 0.0000



Relative to the most stable structure, the computed energies are version 1 11.3; version 2 0.0, all in kJ/mol of atoms.



Version 1
DFT (PBE-GGA) results for an optimized crystal structure of SnS2Br.

Values from the calculation:
The calculation puts the calculated volume at 28.38 A^3/atom. The mass density is 3843 kg/m3.

a = 7.2658 Å, b = 7.2658 Å, c = 6.7001 Å
α = 57.17°, β = 57.17°, γ = 90.00°
Positions (direct):
1 S 0.6956 0.1250 0.2500
2 S 0.0544 0.6250 0.2500
3 S 0.3750 0.3044 0.7500
4 S 0.8750 0.9456 0.7500
5 Sn 0.0000 0.0000 0.0000
6 Sn 0.7500 0.2500 0.5000
7 Br 0.5000 0.5000 0.0000
8 Br 0.2500 0.7500 0.5000



Version 2
DFT (PBE-GGA) results for an optimized crystal structure of SnS2Br.

Values from the calculation:
The calculation puts the calculated volume at 27.46 A^3/atom. The mass density is 3972 kg/m3.

a = 8.2423 Å, b = 8.2423 Å, c = 8.2423 Å
α = 28.12°, β = 28.12°, γ = 28.12°
Positions (direct):
1 S 0.8956 0.8956 0.8956
2 S 0.1044 0.1044 0.1044
3 Sn 0.5000 0.5000 0.5000
4 Br 0.0000 0.0000 0.0000



Relative to the most stable structure, the computed energies are version 1 18.1; version 2 0.0, all in kJ/mol of atoms.



Version 1
DFT (PBE-GGA) results for an optimized crystal structure of Sn2S2Br.

Values from the calculation:
The calculation puts the calculated volume at 27.86 A^3/atom. The mass density is 4547 kg/m3.

a = 5.0734 Å, b = 5.0734 Å, c = 6.4928 Å
α = 67.00°, β = 67.00°, γ = 90.00°
Positions (direct):
1 S 0.3408 0.3408 0.3184
2 S 0.6592 0.6592 0.6816
3 Sn 0.7500 0.2500 0.5000
4 Sn 0.2500 0.7500 0.5000
5 Br 0.0000 0.0000 0.0000



Version 2
DFT (PBE-GGA) results for an optimized crystal structure of Sn2S2Br.

Values from the calculation:
The calculation puts the calculated volume at 29.25 A^3/atom. The mass density is 4332 kg/m3.

a = 7.2344 Å, b = 7.2344 Å, c = 6.7412 Å
α = 113.47°, β = 113.47°, γ = 89.17°
Positions (direct):
1 Sn 0.4280 0.5720 0.2500
2 Sn 0.8168 0.1832 0.2500
3 Sn 0.1832 0.8168 0.7500
4 Sn 0.5720 0.4280 0.7500
5 S 0.7783 0.5610 0.5609
6 S 0.4390 0.2217 0.9391
7 S 0.5610 0.7783 0.0609
8 S 0.2217 0.4390 0.4391
9 Br 0.1405 0.8595 0.2500
10 Br 0.8595 0.1405 0.7500



Version 3
DFT (PBE-GGA) results for an optimized crystal structure of Sn2S2Br.

Values from the calculation:
The calculation puts the calculated volume at 23.88 A^3/atom. The mass density is 5304 kg/m3.

a = 8.2106 Å, b = 8.2106 Å, c = 3.5429 Å
α = 90.00°, β = 90.00°, γ = 90.00°
Positions (direct):
1 S 0.3730 0.8730 0.0000
2 S 0.8730 0.6270 0.0000
3 S 0.6270 0.1270 0.0000
4 S 0.1270 0.3730 0.0000
5 Sn 0.1560 0.6560 0.5000
6 Sn 0.6560 0.8440 0.5000
7 Sn 0.8440 0.3440 0.5000
8 Sn 0.3440 0.1560 0.5000
9 Br 0.0000 0.0000 0.0000
10 Br 0.5000 0.5000 0.0000



Relative to the most stable structure, the computed energies are version 1 8.5; version 2 0.0; version 3 21.4, all in kJ/mol of atoms.



Version 1
DFT (PBE-GGA) results for an optimized crystal structure of Sn3SBr.

Values from the calculation:
The calculation puts the calculated volume at 33.23 A^3/atom. The mass density is 4678 kg/m3.

a = 5.4977 Å, b = 5.4977 Å, c = 5.4977 Å
α = 90.00°, β = 90.00°, γ = 90.00°
Positions (direct):
1 S 0.0000 0.0000 0.0000
2 Sn 0.0000 0.5000 0.0000
3 Sn 0.0000 0.0000 0.5000
4 Sn 0.5000 0.0000 0.0000
5 Br 0.5000 0.5000 0.5000



Version 2
DFT (PBE-GGA) results for an optimized crystal structure of Sn3SBr.

Values from the calculation:
The calculation puts the calculated volume at 35.46 A^3/atom. The mass density is 4384 kg/m3.

a = 5.6179 Å, b = 5.6179 Å, c = 5.6179 Å
α = 90.00°, β = 90.00°, γ = 90.00°
Positions (direct):
1 S 0.5000 0.5000 0.5000
2 Sn 0.0000 0.5000 0.0000
3 Sn 0.0000 0.0000 0.5000
4 Sn 0.5000 0.0000 0.0000
5 Br 0.0000 0.0000 0.0000



Relative to the most stable structure, the computed energies are version 1 0.0; version 2 60.1, all in kJ/mol of atoms.



Version 1
DFT (PBE-GGA) results for an optimized crystal structure of SrS2Br.

Values from the calculation:
The calculation puts the calculated volume at 32.83 A^3/atom. The mass density is 2929 kg/m3.

a = 4.1799 Å, b = 8.1926 Å, c = 9.4511 Å
α = 125.75°, β = 90.00°, γ = 90.00°
Positions (direct):
1 Sr 0.4375 0.2890 0.2300
2 Sr 0.9375 0.7110 0.7700
3 S 0.4377 0.0444 0.8254
4 S 0.9374 0.1577 0.9148
5 S 0.4374 0.8423 0.0852
6 S 0.9377 0.9556 0.1746
7 Br 0.4375 0.3788 0.5988
8 Br 0.9375 0.6212 0.4012



Version 2
DFT (PBE-GGA) results for an optimized crystal structure of SrS2Br.

Values from the calculation:
The calculation puts the calculated volume at 35.14 A^3/atom. The mass density is 2736 kg/m3.

a = 7.8699 Å, b = 7.8699 Å, c = 7.8699 Å
α = 34.65°, β = 34.65°, γ = 34.65°
Positions (direct):
1 Sr 0.5000 0.5000 0.5000
2 S 0.8905 0.8905 0.8905
3 S 0.1095 0.1095 0.1095
4 Br 0.0000 0.0000 0.0000



Relative to the most stable structure, the computed energies are version 1 0.0; version 2 40.4, all in kJ/mol of atoms.



Version 1
DFT (PBE-GGA) results for an optimized crystal structure of SrS2Br.

Values from the calculation:
The calculation puts the calculated volume at 31.92 A^3/atom. The mass density is 3012 kg/m3.

a = 5.6009 Å, b = 5.6009 Å, c = 9.0536 Å
α = 71.98°, β = 71.98°, γ = 90.00°
Positions (direct):
1 Sr 0.0000 0.0000 0.0000
2 Sr 0.7500 0.2500 0.5000
3 S 0.5789 0.1250 0.2500
4 S 0.1711 0.6250 0.2500
5 S 0.3750 0.4211 0.7500
6 S 0.8750 0.8289 0.7500
7 Br 0.5000 0.5000 0.0000
8 Br 0.2500 0.7500 0.5000



Version 2
DFT (PBE-GGA) results for an optimized crystal structure of SrS2Br.

Values from the calculation:
The calculation puts the calculated volume at 25.53 A^3/atom. The mass density is 3766 kg/m3.

a = 5.4292 Å, b = 5.4292 Å, c = 5.4292 Å
α = 55.80°, β = 55.80°, γ = 55.80°
Positions (direct):
1 Sr 0.0000 0.0000 0.0000
2 S 0.7893 0.7893 0.7893
3 S 0.2107 0.2107 0.2107
4 Br 0.5000 0.5000 0.5000



Relative to the most stable structure, the computed energies are version 1 3.3; version 2 0.0, all in kJ/mol of atoms.



Version 1
DFT (PBE-GGA) results for an optimized crystal structure of SrSBr3.

Values from the calculation:
The calculation puts the calculated volume at 42.87 A^3/atom. The mass density is 2784 kg/m3.

a = 5.9846 Å, b = 5.9846 Å, c = 5.9846 Å
α = 90.00°, β = 90.00°, γ = 90.00°
Positions (direct):
1 Sr 0.0000 0.0000 0.0000
2 S 0.5000 0.5000 0.5000
3 Br 0.0000 0.5000 0.0000
4 Br 0.0000 0.0000 0.5000
5 Br 0.5000 0.0000 0.0000



Version 2
DFT (PBE-GGA) results for an optimized crystal structure of SrSBr3.

Values from the calculation:
The calculation puts the calculated volume at 30.85 A^3/atom. The mass density is 3868 kg/m3.

a = 5.3633 Å, b = 5.3633 Å, c = 5.3633 Å
α = 90.00°, β = 90.00°, γ = 90.00°
Positions (direct):
1 Sr 0.5000 0.5000 0.5000
2 S 0.0000 0.0000 0.0000
3 Br 0.0000 0.5000 0.0000
4 Br 0.0000 0.0000 0.5000
5 Br 0.5000 0.0000 0.0000



Relative to the most stable structure, the computed energies are version 1 11.8; version 2 0.0, all in kJ/mol of atoms.